Entry 1:
Material: BaSc2Sn2
Method: DFT, PBE
State: optimized geometry Values from VASP.

Properties
Excess energy over the best structure of this formula in the dataset = 76.7 meV per atom
Final energy = -50.22 eV per cell

Geometry as Quantum ESPRESSO input:
```
&SYSTEM
  ibrav = 0, nat = 10, ntyp = 3
/
ATOMIC_SPECIES
Sn 118.71 Sn.upf
Ba 137.33 Ba.upf
Sc 44.96 Sc.upf
CELL_PARAMETERS angstrom
8.9975 0.0000 0.0000
0.0000 8.9975 0.0000
0.0000 0.0000 3.3263
ATOMIC_POSITIONS angstrom
Sn 7.4863 2.9875 1.6631
Sn 6.0099 7.4863 1.6631
Sn 1.5112 6.0099 1.6631
Sn 2.9875 1.5112 1.6631
Ba 4.4987 4.4987 0.0000
Ba 0.0000 0.0000 0.0000
Sc 1.1173 3.3815 0.0000
Sc 7.8802 5.6160 0.0000
Sc 5.6160 1.1173 0.0000
Sc 3.3815 7.8802 0.0000
```

---

Entry 2:
Material: BaSc2Sn2
Method: DFT, PBE
State: optimized geometry Values from VASP.

Properties
Excess energy over the best structure of this formula in the dataset = 262.1 meV per atom
Final energy = -24.18 eV per cell

Geometry as Quantum ESPRESSO input:
```
&SYSTEM
  ibrav = 0, nat = 5, ntyp = 3
/
ATOMIC_SPECIES
Sn 118.71 Sn.upf
Sc 44.96 Sc.upf
Ba 137.33 Ba.upf
CELL_PARAMETERS angstrom
-5.2847 1.0966 0.3803
-0.8341 -4.8209 2.3105
-2.2189 0.4270 6.4252
ATOMIC_POSITIONS angstrom
Sn -3.0562 -3.1280 5.0405
Sn -5.2815 -0.1692 4.0754
Sc -5.5418 -2.1528 6.1780
Sc -2.7959 -1.1444 2.9380
Ba 0.0000 0.0000 0.0000
```

---

| no. | N(E_F) (states/eV/atom) | size of the total moment (μB/cell) | ΔE_f (eV/atom) |
| --- | --- | --- | --- |
| 1 | 0.49 | 0.0 | -0.5035 |
| 2 | 0.66 | 0.0 | -0.3181 |